# 1
## CsZnHg (PBE)

Data for a geometry-optimized CsZnHg structure.

Geometry as CIF:
```
data_CsZnHg
_cell_length_a 5.131
_cell_length_b 5.131
_cell_length_c 8.365
_cell_angle_alpha 90.00
_cell_angle_beta 90.00
_cell_angle_gamma 90.00
_symmetry_space_group_name_H-M 'P 1'
_symmetry_Int_Tables_number 1
_symmetry_space_group_name_Hall 'P 1'
loop_
_atom_site_label
_atom_site_type_symbol
_atom_site_fract_x
_atom_site_fract_y
_atom_site_fract_z
Cs1 Cs 0.000 0.500 0.335
Hg1 Hg 0.000 0.500 0.851
Zn1 Zn 0.000 0.000 0.000
Zn2 Zn 0.500 0.500 0.000
Hg2 Hg 0.500 0.000 0.149
Cs2 Cs 0.500 0.000 0.665
```

**V**: 36.70 A^3/atom
**SG**: P4/nmm, No. 129
**Calculated formation energy**: -0.08 eV per atom
**Polymorph energy (0 for the lowest one)**: 0.01 eV/f.u.
**Calculated total energy**: -5.35 eV per cell

# 2
## PrAl (PBE)

Data for a geometry-optimized PrAl structure.

Geometry as CIF:
```
data_PrAl
_cell_length_a 6.051
_cell_length_b 6.051
_cell_length_c 5.763
_cell_angle_alpha 90.00
_cell_angle_beta 90.00
_cell_angle_gamma 101.05
_symmetry_space_group_name_H-M 'P 1'
_symmetry_Int_Tables_number 1
_symmetry_space_group_name_Hall 'P 1'
loop_
_atom_site_label
_atom_site_type_symbol
_atom_site_fract_x
_atom_site_fract_y
_atom_site_fract_z
Pr1 Pr 0.340 0.979 0.250
Al1 Al 0.500 0.500 0.000
Pr2 Pr 0.660 0.021 0.750
Al2 Al 0.196 0.196 0.750
Al3 Al 0.804 0.804 0.250
Pr3 Pr 0.979 0.340 0.250
Al4 Al 0.500 0.500 0.500
Pr4 Pr 0.021 0.660 0.750
```

**V**: 25.89 A^3/atom
**SG**: Cmcm, No. 63
**Calculated formation energy**: -0.39 eV per atom
**Calculated total energy**: -37.18 eV per cell

# 3
## FeNi6Ru (PBE)

Data for a geometry-optimized FeNi6Ru structure.

Geometry as CIF:
```
data_FeNi6Ru
_cell_length_a 6.213
_cell_length_b 6.213
_cell_length_c 10.154
_cell_angle_alpha 90.00
_cell_angle_beta 90.00
_cell_angle_gamma 109.54
_symmetry_space_group_name_H-M 'P 1'
_symmetry_Int_Tables_number 1
_symmetry_space_group_name_Hall 'P 1'
loop_
_atom_site_label
_atom_site_type_symbol
_atom_site_fract_x
_atom_site_fract_y
_atom_site_fract_z
Ni1 Ni 0.873 0.621 0.627
Ni2 Ni 0.500 0.500 0.750
Ni3 Ni 0.000 0.000 0.250
Fe1 Fe 0.500 0.500 0.502
Ni4 Ni 0.871 0.623 0.122
Ni5 Ni 0.127 0.379 0.627
Ni6 Ni 0.251 0.749 0.997
Ni7 Ni 0.129 0.377 0.122
Ni8 Ni 0.623 0.871 0.122
Ni9 Ni 0.127 0.379 0.873
Ru1 Ru 0.000 0.000 0.998
Ni10 Ni 0.129 0.377 0.378
Ni11 Ni 0.000 0.000 0.750
Ni12 Ni 0.251 0.749 0.503
Ni13 Ni 0.621 0.873 0.627
Fe2 Fe 0.500 0.500 0.998
Ni14 Ni 0.873 0.621 0.873
Ni15 Ni 0.749 0.251 0.503
Ni16 Ni 0.871 0.623 0.378
Ni17 Ni 0.379 0.127 0.627
Ru2 Ru 0.751 0.249 0.250
Fe3 Fe 0.751 0.249 0.750
Fe4 Fe 0.249 0.751 0.750
Ru3 Ru 0.249 0.751 0.250
Ru4 Ru 0.000 0.000 0.502
Ni18 Ni 0.623 0.871 0.378
Ni19 Ni 0.377 0.129 0.378
Ni20 Ni 0.749 0.251 0.997
Ni21 Ni 0.621 0.873 0.873
Ni22 Ni 0.379 0.127 0.873
Ni23 Ni 0.377 0.129 0.122
Ni24 Ni 0.500 0.500 0.250
```

**V**: 11.55 A^3/atom
**SG**: Cmmm, No. 65
**Calculated formation energy**: 0.03 eV per atom
**Polymorph energy (0 for the lowest one)**: 0.00 eV/f.u.
**Calculated total energy**: -208.70 eV per cell

# 4
## ZrRe2Ru (PBE)

Data for a geometry-optimized ZrRe2Ru structure.

Geometry as CIF:
```
data_ZrRe2Ru
_cell_length_a 3.199
_cell_length_b 3.199
_cell_length_c 6.389
_cell_angle_alpha 90.00
_cell_angle_beta 90.00
_cell_angle_gamma 90.00
_symmetry_space_group_name_H-M 'P 1'
_symmetry_Int_Tables_number 1
_symmetry_space_group_name_Hall 'P 1'
loop_
_atom_site_label
_atom_site_type_symbol
_atom_site_fract_x
_atom_site_fract_y
_atom_site_fract_z
Ru1 Ru 0.500 0.500 0.250
Re1 Re 0.000 0.000 0.013
Zr1 Zr 0.500 0.500 0.750
Re2 Re 0.000 0.000 0.487
```

**V**: 16.35 A^3/atom
**SG**: P4/mmm, No. 123
**Calculated formation energy**: 0.21 eV per atom
**Polymorph energy (0 for the lowest one)**: 0.95 eV/f.u.
**Calculated total energy**: -41.88 eV per cell

# 5
## LaGdErZr (PBE)

Data for a geometry-optimized LaGdErZr structure.

Geometry as CIF:
```
data_LaGdErZr
_cell_length_a 5.547
_cell_length_b 5.547
_cell_length_c 5.547
_cell_angle_alpha 60.00
_cell_angle_beta 60.00
_cell_angle_gamma 60.00
_symmetry_space_group_name_H-M 'P 1'
_symmetry_Int_Tables_number 1
_symmetry_space_group_name_Hall 'P 1'
loop_
_atom_site_label
_atom_site_type_symbol
_atom_site_fract_x
_atom_site_fract_y
_atom_site_fract_z
Er1 Er 0.250 0.250 0.250
Gd1 Gd 0.000 0.000 0.000
La1 La 0.500 0.500 0.500
Zr1 Zr 0.750 0.750 0.750
```

**V**: 30.18 A^3/atom
**SG**: F-43m, No. 216
**Calculated formation energy**: 0.20 eV per atom
**Calculated total energy**: -31.34 eV per cell

# 6
## Ta3Cl (PBE)

Data for a geometry-optimized Ta3Cl structure.

Geometry as CIF:
```
data_Ta3Cl
_cell_length_a 4.937
_cell_length_b 4.937
_cell_length_c 4.937
_cell_angle_alpha 127.81
_cell_angle_beta 127.81
_cell_angle_gamma 76.94
_symmetry_space_group_name_H-M 'P 1'
_symmetry_Int_Tables_number 1
_symmetry_space_group_name_Hall 'P 1'
loop_
_atom_site_label
_atom_site_type_symbol
_atom_site_fract_x
_atom_site_fract_y
_atom_site_fract_z
Cl1 Cl 0.000 0.000 0.000
Ta1 Ta 0.750 0.250 0.500
Ta2 Ta 0.500 0.500 0.000
Ta3 Ta 0.250 0.750 0.500
```

**V**: 18.24 A^3/atom
**SG**: I4/mmm, No. 139
**ΔE_f (raw)**: 753 meV per atom
**Polymorph energy (0 for the lowest one)**: 2.66 eV/f.u.
**Calculated total energy**: -34.39 eV per cell

# 7
## Ho12Tl6Zn (PBE)

Data for a geometry-optimized Ho12Tl6Zn structure.

Geometry as CIF:
```
data_Ho12Tl6Zn
_cell_length_a 8.740
_cell_length_b 8.740
_cell_length_c 8.740
_cell_angle_alpha 99.84
_cell_angle_beta 99.84
_cell_angle_gamma 99.84
_symmetry_space_group_name_H-M 'P 1'
_symmetry_Int_Tables_number 1
_symmetry_space_group_name_Hall 'P 1'
loop_
_atom_site_label
_atom_site_type_symbol
_atom_site_fract_x
_atom_site_fract_y
_atom_site_fract_z
Ho1 Ho 0.937 0.047 0.685
Ho2 Ho 0.685 0.937 0.047
Ho3 Ho 0.818 0.570 0.430
Tl1 Tl 0.382 0.697 0.866
Ho4 Ho 0.430 0.570 0.182
Ho5 Ho 0.430 0.818 0.570
Tl2 Tl 0.134 0.618 0.303
Ho6 Ho 0.315 0.063 0.953
Ho7 Ho 0.570 0.182 0.430
Ho8 Ho 0.182 0.430 0.570
Ho9 Ho 0.047 0.685 0.937
Ho10 Ho 0.953 0.315 0.063
Zn1 Zn 0.000 0.000 0.000
Ho11 Ho 0.063 0.953 0.315
Ho12 Ho 0.570 0.430 0.818
Tl3 Tl 0.618 0.303 0.134
Tl4 Tl 0.866 0.382 0.697
Tl5 Tl 0.303 0.134 0.618
Tl6 Tl 0.697 0.866 0.382
```

**V**: 33.38 A^3/atom
**SG**: R-3, No. 148
**Calculated formation energy**: 0.03 eV per atom
**Calculated total energy**: -69.88 eV per cell

# 8
## TaNbH (PBE)

Data for a geometry-optimized TaNbH structure.

Geometry as CIF:
```
data_TaNbH
_cell_length_a 4.791
_cell_length_b 4.838
_cell_length_c 4.795
_cell_angle_alpha 59.91
_cell_angle_beta 60.11
_cell_angle_gamma 90.35
_symmetry_space_group_name_H-M 'P 1'
_symmetry_Int_Tables_number 1
_symmetry_space_group_name_Hall 'P 1'
loop_
_atom_site_label
_atom_site_type_symbol
_atom_site_fract_x
_atom_site_fract_y
_atom_site_fract_z
Nb1 Nb 0.641 0.555 0.608
Ta1 Ta 0.904 0.297 0.109
H1 H 0.789 0.183 0.608
H2 H 0.020 0.680 0.609
Nb2 Nb 0.167 0.055 0.609
Ta2 Ta 0.404 0.797 0.108
```

**V**: 13.06 A^3/atom
**SG**: P1, No. 1
**Polymorph energy (0 for the lowest one)**: 0.08 eV/f.u.
**Calculated total energy**: -51.45 eV per cell

> What is the formula in the third record?

FeNi6Ru

> The highest calculated total energy belongs to which entry?

CsZnHg